Entry from Alexandria via LeMat-Bulk: a relaxed structure of Ce2PmTh (PBE).

a = 11.8016 Å, b = 11.8016 Å, c = 11.8016 Å
α = 17.04°, β = 17.04°, γ = 17.04°
Fractional positions:
Ce: 0.0000 0.0000 0.0000
Ce: 0.1639 0.1639 0.1639
Pm: 0.5831 0.5831 0.5831
Th: 0.4152 0.4152 0.4152

Output
Distance to the lowest polymorph of the same formula = 43 meV/atom
Calculated volume = 123 Å³ per cell
ΔE_f = 0.40 eV/f.u.

Entry from Alexandria via LeMat-Bulk: a relaxed structure of B2C3 (PBE).

a = 6.9771 Å, b = 6.9771 Å, c = 6.9771 Å
α = 159.56°, β = 39.47°, γ = 146.61°
Fractional positions:
B: 0.0000 0.0000 0.0000
B: 0.2385 0.0392 0.1994
B: 0.3307 0.8307 0.5000
B: 0.8398 0.0392 0.8006
C: 0.1211 0.8175 0.3036
C: 0.4501 0.0560 0.3941
C: 0.5139 0.8175 0.6964
C: 0.6619 0.0560 0.6059
C: 0.6711 0.7722 0.8990
C: 0.8732 0.7722 0.1010

Output
Distance to the lowest polymorph of the same formula = 122 meV/atom
Calculated volume = 65 Å³ per cell
ΔE_f = 1.79 eV/f.u.

Entry from Alexandria via LeMat-Bulk: a relaxed structure of ErAl9Rh2 (PBE).

a = 8.3559 Å, b = 8.3559 Å, c = 8.3559 Å
α = 99.62°, β = 99.62°, γ = 131.75°
Fractional positions:
Er: 0.3750 0.6250 0.7500
Er: 0.6250 0.3750 0.2500
Al: 0.1250 0.8750 0.2500
Al: 0.1292 0.5605 0.3270
Al: 0.1292 0.8022 0.5686
Al: 0.1978 0.2664 0.3270
Al: 0.1978 0.8708 0.9314
Al: 0.2664 0.1978 0.8270
Al: 0.2664 0.4395 0.0686
Al: 0.4395 0.2664 0.5686
Al: 0.4395 0.8708 0.1730
Al: 0.5605 0.1292 0.8270
Al: 0.5605 0.7336 0.4314
Al: 0.7336 0.5605 0.9314
Al: 0.7336 0.8022 0.1730
Al: 0.8022 0.1292 0.0686
Al: 0.8022 0.7336 0.6730
Al: 0.8708 0.1978 0.4314
Al: 0.8708 0.4395 0.6730
Al: 0.8750 0.1250 0.7500
Rh: 0.0000 0.0000 0.0000
Rh: 0.0000 0.0000 0.5000
Rh: 0.0000 0.5000 0.0000
Rh: 0.5000 0.0000 0.5000

Output
Calculated volume = 397 Å³ per cell
ΔE_f = -6.29 eV/f.u.

Entry from Alexandria via LeMat-Bulk: a relaxed structure of CdPtAu14 (PBE).

a = 9.6307 Å, b = 5.8213 Å, c = 5.8213 Å
α = 62.17°, β = 90.00°, γ = 90.00°
Fractional positions:
Cd: 0.0000 0.0000 0.0000
Pt: 0.0000 0.4989 0.4989
Au: 0.0000 0.5024 0.9971
Au: 0.0000 0.9971 0.5024
Au: 0.2470 0.3261 0.3261
Au: 0.2482 0.3278 0.8239
Au: 0.2482 0.8239 0.3278
Au: 0.2515 0.8271 0.8271
Au: 0.5000 0.1537 0.1537
Au: 0.5000 0.1554 0.6530
Au: 0.5000 0.6530 0.1554
Au: 0.5000 0.6544 0.6544
Au: 0.7485 0.8271 0.8271
Au: 0.7518 0.3278 0.8239
Au: 0.7518 0.8239 0.3278
Au: 0.7530 0.3261 0.3261

Output
Calculated volume = 289 Å³ per cell
ΔE_f = -0.36 eV/f.u.

Entry from Alexandria via LeMat-Bulk: a relaxed structure of PuRuPt (PBE).

a = 4.3870 Å, b = 4.3870 Å, c = 3.5948 Å
α = 90.00°, β = 90.00°, γ = 120.00°
Fractional positions:
Pu: 0.0000 0.0000 0.0000
Ru: 0.3333 0.6667 0.5000
Pt: 0.6667 0.3333 0.5000

Output
Distance to the lowest polymorph of the same formula = 257 meV/atom
Calculated volume = 60 Å³ per cell
ΔE_f = -0.70 eV/f.u.

Entry from Alexandria via LeMat-Bulk: a relaxed structure of TmScGa6 (PBE).

a = 4.6769 Å, b = 6.0142 Å, c = 6.0142 Å
α = 60.07°, β = 90.00°, γ = 90.00°
Fractional positions:
Tm: 0.0000 0.0000 0.0000
Sc: 0.5000 0.3328 0.3328
Ga: 0.0000 0.5090 0.5090
Ga: 0.0000 0.5095 0.9806
Ga: 0.0000 0.9806 0.5095
Ga: 0.5000 0.3624 0.8182
Ga: 0.5000 0.8182 0.3624
Ga: 0.5000 0.8187 0.8187

Output
Distance to the lowest polymorph of the same formula = 54 meV/atom
Calculated volume = 147 Å³ per cell
ΔE_f = -3.65 eV/f.u.

Entry from Alexandria via LeMat-Bulk: a relaxed structure of AcTcTe (PBE).

a = 9.1878 Å, b = 9.1878 Å, c = 4.3671 Å
α = 90.07°, β = 90.07°, γ = 29.26°
Fractional positions:
Ac: 0.1102 0.1102 0.2504
Ac: 0.8898 0.8898 0.7496
Tc: 0.4730 0.4730 0.2500
Tc: 0.5270 0.5270 0.7500
Te: 0.3198 0.3198 0.2493
Te: 0.6802 0.6802 0.7507

Output
DFT total energy = -6.420 eV per atom
Calculated volume = 180 Å³ per cell

Entry from Alexandria via LeMat-Bulk: a relaxed structure of PmPr3As4 (PBE).

a = 7.4299 Å, b = 7.4299 Å, c = 4.2942 Å
α = 90.00°, β = 90.00°, γ = 109.46°
Fractional positions:
Pm: 0.0000 0.0000 0.0000
Pr: 0.0000 0.5000 0.5000
Pr: 0.5000 0.0000 0.5000
Pr: 0.5000 0.5000 0.0000
As: 0.2473 0.2473 0.5000
As: 0.2486 0.7514 0.0000
As: 0.7514 0.2486 0.0000
As: 0.7527 0.7527 0.5000

Output
Calculated volume = 224 Å³ per cell
ΔE_f = -12.05 eV/f.u.

no.,DOS(E_F) (states/eV/f.u.)
1,10.0
2,1.3
3,5.0
4,4.8
5,10.8
6,3.9
7,3.3
8,0.7